Entry 1:
K3La3TiSe8, relaxed, DFT PBE; ΔE_f (raw) = -1636 meV/atom; space-group type = R-3m (166)
1.0
4.281 2.472 7.820
-4.281 2.472 7.820
0.000 -4.943 7.820
K La Ti Se
3 3 1 8
Cartesian
-2.141 -1.236 7.820
-2.141 1.236 15.640
0.000 2.472 7.820
-4.281 0.000 11.730
-2.141 1.236 3.910
2.141 1.236 3.910
0.000 0.000 11.730
0.000 0.000 5.595
-1.894 -1.094 13.232
0.000 -2.187 10.228
-1.894 1.094 10.228
1.894 -1.094 13.232
0.000 2.187 13.232
1.894 1.094 10.228
0.000 0.000 17.866

***

Entry 2:
Sm8HoIr6, relaxed, DFT PBE; space-group type = R-3 (148); E_tot = -7.04 eV per atom
1.0
4.204 2.427 6.136
-4.204 2.427 6.136
0.000 -4.854 6.136
Sm Ho Ir
8 1 6
Cartesian
-1.369 -2.408 7.146
0.000 0.000 3.091
-2.770 -0.018 11.262
-1.401 2.390 7.146
1.401 -2.390 11.262
2.770 0.018 7.146
0.000 0.000 15.317
1.369 2.408 11.262
0.000 0.000 9.204
-2.785 -0.004 8.165
-1.389 -2.414 10.243
1.396 -2.410 8.165
-1.396 2.410 10.243
1.389 2.414 8.165
2.785 0.004 10.243

***

Entry 3:
NbInW, relaxed, DFT PBE; space-group type = P-1 (2); E_tot = -8.36 eV per atom
1.0
3.371 0.000 0.000
-0.001 4.834 0.000
-1.683 -1.012 6.995
Nb In W
2 2 2
Cartesian
0.001 1.207 1.545
1.687 2.615 5.451
0.003 0.197 5.924
1.684 3.625 1.071
0.000 3.189 3.463
1.687 0.633 3.533

***

Entry 4:
TiCrSeCl2, relaxed, DFT PBE; ΔE_f (raw) = -168 meV/atom; space-group type = P4/mmm (123)
1.0
4.638 0.000 0.000
0.000 4.638 0.000
0.000 0.000 5.309
Ti Cr Se Cl
1 1 1 2
Cartesian
0.000 0.000 0.000
2.319 2.319 2.655
2.319 2.319 0.000
0.000 2.319 2.655
2.319 0.000 2.655

***

Entry 5:
RbCu3Rh, relaxed, DFT PBE; ΔE to the lowest computed polymorph = 0 meV per atom; space-group type = Pm-3m (221)
1.0
4.847 0.000 0.000
0.000 4.847 0.000
0.000 0.000 4.847
Rb Cu Rh
1 3 1
Cartesian
0.000 0.000 0.000
0.000 2.424 2.424
2.424 0.000 2.424
2.424 2.424 0.000
2.424 2.424 2.424

***

Entry 6:
MgTl2As, relaxed, DFT PBE; ΔE to the lowest computed polymorph = 169 meV per atom; space-group type = C2/m (12)
1.0
2.999 -5.848 0.000
2.999 5.848 0.000
-2.456 0.000 2.975
Mg Tl As
1 2 1
Cartesian
0.000 0.000 0.000
0.271 2.924 1.487
0.271 -2.924 1.487
2.999 0.000 0.000

***

Entry 7:
Cu5SiAu8, relaxed, DFT PBE; ΔE_f (raw) = 60 meV/atom; space-group type = I-4 (82)
1.0
-3.830 3.830 3.925
3.830 -3.830 3.925
3.830 3.830 -3.925
Cu Si Au
5 1 8
Cartesian
0.000 0.000 0.000
4.693 1.614 -1.301
1.614 2.966 1.301
-0.864 2.215 2.624
2.215 0.864 5.226
3.830 0.000 1.963
2.467 0.714 -0.034
2.522 3.299 -1.337
3.116 -1.363 3.959
1.308 0.531 2.588
4.361 2.522 1.337
0.714 5.192 0.034
-0.531 1.308 5.262
1.363 3.116 3.891

***

Entry 8:
Nd2ErZn2, relaxed, DFT PBE; ΔE to the lowest computed polymorph = 0 meV per atom; space-group type = Cmmm (65)
1.0
1.823 -10.187 0.000
1.823 10.187 0.000
0.000 0.000 3.550
Nd Er Zn
2 1 2
Cartesian
1.823 6.652 0.000
1.823 -6.652 0.000
0.000 0.000 0.000
1.823 1.638 1.775
1.823 -1.638 1.775

***

Entry 9:
HfAg2Au2, relaxed, DFT PBE; ΔE to the lowest computed polymorph = 25 meV per atom; space-group type = P4/mbm (127)
1.0
7.851 0.000 0.000
0.000 7.851 0.000
0.000 0.000 3.071
Hf Ag Au
2 4 4
Cartesian
0.000 0.000 0.000
3.925 3.925 0.000
0.961 2.965 0.000
2.965 6.890 0.000
4.886 0.961 0.000
6.890 4.886 0.000
1.394 5.320 1.535
2.531 1.394 1.535
5.320 6.457 1.535
6.457 2.531 1.535

***

Entry 10:
FeCuAu2, relaxed, DFT PBE; space-group type = Cmmm (65); E_tot = -4.68 eV per atom
1.0
3.020 -3.641 0.000
3.020 3.641 0.000
0.000 0.000 2.781
Fe Cu Au
1 1 2
Cartesian
0.000 0.000 0.000
3.020 0.000 0.000
1.510 1.821 1.391
1.510 -1.821 1.391

***

Entry 11:
TaOsSe2, relaxed, DFT PBE; ΔE to the lowest computed polymorph = 34 meV per atom; ΔE_f (raw) = -125 meV/atom; space-group type = P4mm (99)
1.0
3.045 0.000 0.000
0.000 3.045 0.000
0.000 0.000 8.396
Ta Os Se
1 1 2
Cartesian
0.000 0.000 0.000
1.522 1.522 2.057
0.000 0.000 3.467
1.522 1.522 6.849